Entry 1:
Below is a relaxed CsNiHgF2 crystal, with properties calculated at the PBE+U level.

Unit cell a=4.675 b=4.675 c=5.062 alpha=90.00 beta=90.00 gamma=90.00
Space group P4/mmm (No. 123)
One atom of each set of equivalent atoms:
Cs1 0.000 0.000 0.000 (multiplicity 1)
Ni1 0.500 0.500 0.500 (multiplicity 1)
Hg1 0.500 0.500 0.000 (multiplicity 1)
F1 0.000 0.500 0.500 (multiplicity 2)

Summary:
DFT total energy = -2.72 eV/atom
M_tot = 1.0 μB/cell

Entry 2:
Below is a relaxed CsNiHgF6 crystal, with properties calculated at the PBE+U level.

Unit cell a=7.623 b=7.772 c=10.171 alpha=90.00 beta=90.00 gamma=90.00
Space group Imma (No. 74)
One atom of each set of equivalent atoms:
Cs1 0.000 0.250 0.151 (multiplicity 4)
Ni1 0.000 0.000 0.500 (multiplicity 4)
Hg1 0.250 0.250 0.750 (multiplicity 4)
F1 0.000 0.250 0.557 (multiplicity 4)
F2 0.000 0.250 0.859 (multiplicity 4)
F3 0.171 0.027 0.374 (multiplicity 16)

Summary:
DFT total energy = -3.58 eV/atom
M_tot = 4.0 μB/cell

Entry 3:
Below is a relaxed Cs2Ni3HgF12 crystal, with properties calculated at the PBE+U level.

Unit cell a=7.4409 b=7.4409 c=18.3601 alpha=90.00 beta=90.00 gamma=120.00
Space group R-3m (No. 166, hexagonal axes)
One atom of each set of equivalent atoms:
Cs1 0.0000 0.0000 0.1138 (multiplicity 6)
Ni1 0.0000 0.5000 0.0000 (multiplicity 9)
Hg1 0.0000 0.0000 0.5000 (multiplicity 3)
F1 0.0147 0.5073 0.1048 (multiplicity 18)
F2 0.0755 0.5377 0.3370 (multiplicity 18)

Summary:
DFT total energy = -3.80 eV/atom
M_tot = 24.0 μB/cell

Entry 4:
Below is a relaxed Cs3Ni2HgF9 crystal, with properties calculated at the PBE+U level.

Unit cell a=6.1662 b=6.1662 c=7.5861 alpha=90.00 beta=90.00 gamma=120.00
Space group P-3m1 (No. 164)
One atom of each set of equivalent atoms:
Cs1 0.0000 0.0000 0.0000 (multiplicity 1)
Cs2 0.3333 0.6667 0.6671 (multiplicity 2)
Ni1 0.3333 0.6667 0.1531 (multiplicity 2)
Hg1 0.0000 0.0000 0.5000 (multiplicity 1)
F1 0.0000 0.5000 0.0000 (multiplicity 3)
F2 0.1783 0.3567 0.3152 (multiplicity 6)

Summary:
DFT total energy = -3.92 eV/atom
M_tot = 4.0 μB/cell

- What is the formula in the second record?
  CsNiHgF6

- Which formula does entry 2 have?
  CsNiHgF6

- Which of these has the lowest M_tot?
  CsNiHgF2

- Which of these has the lowest DFT total energy?
  Cs3Ni2HgF9